Entry 1:
Computed, not measured: an optimized crystal structure of RbTl2RuO8 at the PBE-GGA level of DFT.

It has space group P-1 (No. 2), with a = 4.5228 Å, b = 5.9971 Å, c = 7.4194 Å, α = 89.93°, β = 77.83° and γ = 82.86°. The inequivalent atoms are Rb at (0.0000, 0.0000, 0.0000), Tl at (0.2898, 0.5766, 0.3268), Ru at (0.5000, 0.0000, 0.5000), O at (0.1438, 0.5030, 0.0052), O at (0.2002, 0.8699, 0.6348), O at (0.2494, 0.3196, 0.5338) and O at (0.3800, 0.9138, 0.2672).

The uncorrected formation energy is -7.114 eV/f.u. For the magnetic moment, the calculation gives 1.02 μB/cell. For the total energy, the calculation gives -5.1463 eV per atom.



Entry 2:
Computed, not measured: an optimized crystal structure of YCo2Tc2 at the PBE-GGA level of DFT.

It has space group P4/mbm (No. 127), with a = 7.4230 Å, b = 7.4230 Å, c = 2.7027 Å, α = 90.00°, β = 90.00° and γ = 90.00°. The inequivalent atoms are Y at (0.0000, 0.0000, 0.0000), Co at (0.1178, 0.3822, 0.0000) and Tc at (0.1716, 0.6716, 0.5000).

For the magnetic moment, the calculation gives 1.25 μB/cell. For the total energy, the calculation gives -8.1068 eV per atom. As for the energy relative to the elements: 175 meV per atom. The excess energy over the best structure of this formula in the dataset is 0.80 eV per formula unit.



Entry 3:
Computed, not measured: an optimized crystal structure of ReAgRh at the PBE-GGA level of DFT.

It has space group F-43m (No. 216), with a = 5.9964 Å, b = 5.9964 Å, c = 5.9964 Å, α = 90.00°, β = 90.00° and γ = 90.00°. The inequivalent atoms are Re at (0.0000, 0.0000, 0.0000), Ag at (0.0000, 0.0000, 0.5000) and Rh at (0.2500, 0.2500, 0.2500).

For the magnetic moment, the calculation gives 0.00 μB/cell. For the total energy, the calculation gives -6.6678 eV per atom. As for the energy relative to the elements: 882 meV per atom. The excess energy over the best structure of this formula in the dataset is 2.01 eV per formula unit.



Entry 4:
Computed, not measured: an optimized crystal structure of Mg4Ta at the PBE-GGA level of DFT.

It has space group I4/mmm (No. 139), with a = 3.9702 Å, b = 3.9702 Å, c = 13.6243 Å, α = 90.00°, β = 90.00° and γ = 90.00°. The inequivalent atoms are Mg at (0.0000, 0.0000, 0.0932), Mg at (0.0000, 0.5000, 0.2500) and Ta at (0.0000, 0.0000, 0.5000).

For the magnetic moment, the calculation gives 0.00 μB/cell. For the total energy, the calculation gives -2.9392 eV per atom. As for the energy relative to the elements: 707 meV per atom. The excess energy over the best structure of this formula in the dataset is 1.65 eV per formula unit.



Entry 5:
Computed, not measured: an optimized crystal structure of La3SmSe4 at the PBE-GGA level of DFT.

It has space group P2/c (No. 13), with a = 7.4340 Å, b = 8.5022 Å, c = 7.4285 Å, α = 90.00°, β = 109.35° and γ = 90.00°. The inequivalent atoms are La at (0.0000, 0.1251, 0.2500), La at (0.0000, 0.3749, 0.7500), La at (0.5000, 0.1254, 0.7500), Sm at (0.5000, 0.3751, 0.2500), Se at (0.2536, 0.1285, 0.0037) and Se at (0.2567, 0.3786, 0.5000).

The uncorrected formation energy is -15.658 eV/f.u. For the magnetic moment, the calculation gives 0.00 μB/cell. For the total energy, the calculation gives -6.1372 eV per atom. The excess energy over the best structure of this formula in the dataset is 0.00 eV per formula unit.



Entry 6:
Computed, not measured: an optimized crystal structure of LiSc2Zn at the PBE-GGA level of DFT.

It has space group F-43m (No. 216), with a = 6.7837 Å, b = 6.7837 Å, c = 6.7837 Å, α = 90.00°, β = 90.00° and γ = 90.00°. The inequivalent atoms are Li at (0.0000, 0.0000, 0.0000), Sc at (0.0000, 0.0000, 0.5000), Sc at (0.2500, 0.2500, 0.7500) and Zn at (0.2500, 0.2500, 0.2500).

For the magnetic moment, the calculation gives 1.27 μB/cell. For the total energy, the calculation gives -3.8818 eV per atom. As for the energy relative to the elements: 81 meV per atom.



Entry 7:
Computed, not measured: an optimized crystal structure of ZrTlO3 at the PBE-GGA level of DFT.

It has space group Pm-3m (No. 221), with a = 4.2016 Å, b = 4.2016 Å, c = 4.2016 Å, α = 90.00°, β = 90.00° and γ = 90.00°. The inequivalent atoms are Zr at (0.0000, 0.0000, 0.0000), Tl at (0.5000, 0.5000, 0.5000) and O at (0.0000, 0.5000, 0.5000).

The uncorrected formation energy is -1.980 eV/f.u. For the magnetic moment, the calculation gives 0.00 μB/cell. For the total energy, the calculation gives -5.5538 eV per atom.



Entry 8:
Computed, not measured: an optimized crystal structure of CeY at the PBE-GGA level of DFT.

It has space group Pm-3m (No. 221), with a = 4.0080 Å, b = 4.0080 Å, c = 4.0080 Å, α = 90.00°, β = 90.00° and γ = 90.00°. The inequivalent atoms are Ce at (0.0000, 0.0000, 0.0000) and Y at (0.5000, 0.5000, 0.5000).

For the magnetic moment, the calculation gives 0.92 μB/cell. For the total energy, the calculation gives -5.9666 eV per atom. As for the energy relative to the elements: 232 meV per atom. The excess energy over the best structure of this formula in the dataset is 0.26 eV per formula unit.